Compound: RbWN2O
Source: Alexandria
Functional: PBE with a Hubbard U
Structure: relaxed

Computed properties:
**Mass density**: 6.27 Mg/m³
**E**: -3.054 eV/atom

a = 4.470 Å, b = 4.470 Å, c = 4.150 Å
α = 90.00°, β = 90.00°, γ = 90.00°
Space group P4/mmm (No. 123)
Asymmetric unit:
Rb1 0.000 0.000 0.000 x1
W1 0.500 0.500 0.500 x1
N1 0.000 0.500 0.000 x2
O1 0.000 0.000 0.500 x1